# Y2Mo3O12 (PBE with a Hubbard U, relaxed)
# N(E_F) = 0.00 states/eV/cell
# Energy above the most stable polymorph in this dataset = 0.000 eV/atom
# Total magnetic moment = 0.00 μB/cell
# E_tot = -7.7892 eV/atom
data_Y2Mo3O12
_space_group_name_H-M_alt 'P b c n'
_space_group_IT_number 60
_space_group_name_Hall '-P 2n 2ab'
_cell_length_a 14.248
_cell_length_b 10.153
_cell_length_c 10.241
_cell_angle_alpha 90.00
_cell_angle_beta 90.00
_cell_angle_gamma 90.00
loop_
_atom_site_label
_atom_site_fract_x
_atom_site_fract_y
_atom_site_fract_z
Y1 0.117 0.250 0.031
Mo1 0.000 0.028 0.750
Mo2 0.143 0.389 0.388
O1 0.034 0.319 0.440
O2 0.065 0.130 0.861
O3 0.080 0.075 0.161
O4 0.140 0.436 0.915
O5 0.159 0.356 0.218
O6 0.237 0.318 0.481